1.
A plane-wave DFT calculation with PBE was carried out for a relaxed Ba12Pd6Pb crystal.

ΔE_f in eV/atom: -0.424
SG: Im-3, No. 204

a = 9.9831 Å, b = 9.9831 Å, c = 9.9831 Å
α = 109.47°, β = 109.47°, γ = 109.47°
Fractional positions:
1 Ba 0.1285 0.8200 0.3086
2 Ba 0.1800 0.3086 0.4886
3 Ba 0.1800 0.6914 0.8715
4 Ba 0.3086 0.1285 0.8200
5 Ba 0.3086 0.4886 0.1800
6 Ba 0.4886 0.1800 0.3086
7 Ba 0.5114 0.8200 0.6914
8 Ba 0.6914 0.5114 0.8200
9 Ba 0.6914 0.8715 0.1800
10 Ba 0.8200 0.3086 0.1285
11 Ba 0.8200 0.6914 0.5114
12 Ba 0.8715 0.1800 0.6914
13 Pd 0.1198 0.6198 0.5000
14 Pd 0.3802 0.5000 0.8802
15 Pd 0.5000 0.1198 0.6198
16 Pd 0.5000 0.8802 0.3802
17 Pd 0.6198 0.5000 0.1198
18 Pd 0.8802 0.3802 0.5000
19 Pb 0.0000 0.0000 0.0000

---

2.
A plane-wave DFT calculation with PBE was carried out for a relaxed Ce2Zn3CoNi12 crystal.

ΔE_f in eV/atom: 0.112
SG: R-3m, No. 166

a = 8.8753 Å, b = 8.8753 Å, c = 8.8753 Å
α = 40.35°, β = 40.35°, γ = 40.35°
Fractional positions:
1 Ce 0.1554 0.1554 0.1554
2 Ce 0.8446 0.8446 0.8446
3 Zn 0.0000 0.5000 0.5000
4 Zn 0.5000 0.0000 0.5000
5 Zn 0.5000 0.5000 0.0000
6 Co 0.5000 0.5000 0.5000
7 Ni 0.0767 0.0767 0.6906
8 Ni 0.0767 0.6906 0.0767
9 Ni 0.1377 0.5821 0.5821
10 Ni 0.3094 0.9233 0.9233
11 Ni 0.4179 0.4179 0.8623
12 Ni 0.4179 0.8623 0.4179
13 Ni 0.5821 0.1377 0.5821
14 Ni 0.5821 0.5821 0.1377
15 Ni 0.6906 0.0767 0.0767
16 Ni 0.8623 0.4179 0.4179
17 Ni 0.9233 0.3094 0.9233
18 Ni 0.9233 0.9233 0.3094

---

3.
A plane-wave DFT calculation with PBE was carried out for a relaxed Sn2PdPt4 crystal.

E above lowest polymorph in kJ/mol of atoms: 17.1
ΔE_f in eV/atom: -0.002
SG: I4/mmm, No. 139

a = 6.4744 Å, b = 6.4744 Å, c = 6.4744 Å
α = 134.27°, β = 134.27°, γ = 66.67°
Fractional positions:
1 Sn 0.1462 0.1462 0.0000
2 Sn 0.8538 0.8538 0.0000
3 Pd 0.5000 0.5000 0.0000
4 Pt 0.0000 0.5000 0.5000
5 Pt 0.2500 0.7500 0.5000
6 Pt 0.5000 0.0000 0.5000
7 Pt 0.7500 0.2500 0.5000

---

4.
A plane-wave DFT calculation with PBE was carried out for a relaxed Ca3ThRh8 crystal.

ΔE_f in eV/atom: -0.548
SG: R3m, No. 160

a = 9.3299 Å, b = 9.3299 Å, c = 9.3299 Å
α = 33.43°, β = 33.43°, γ = 33.43°
Fractional positions:
1 Ca 0.0000 0.0000 0.0000
2 Ca 0.1218 0.1218 0.1218
3 Ca 0.6295 0.6295 0.6295
4 Th 0.5011 0.5011 0.5011
5 Rh 0.0637 0.0637 0.5603
6 Rh 0.0637 0.5603 0.0637
7 Rh 0.0660 0.5632 0.5632
8 Rh 0.3134 0.3134 0.3134
9 Rh 0.5603 0.0637 0.0637
10 Rh 0.5632 0.0660 0.5632
11 Rh 0.5632 0.5632 0.0660
12 Rh 0.8129 0.8129 0.8129

---

5.
A plane-wave DFT calculation with PBE was carried out for a relaxed As2PbW crystal.

ΔE_f in eV/atom: 0.358
SG: Cmmm, No. 65

a = 3.1115 Å, b = 3.1115 Å, c = 9.7860 Å
α = 90.00°, β = 90.00°, γ = 111.83°
Fractional positions:
1 As 0.0000 0.0000 0.1917
2 As 0.0000 0.0000 0.8083
3 Pb 0.5000 0.5000 0.5000
4 W 0.5000 0.5000 0.0000

---

6.
A plane-wave DFT calculation with PBE was carried out for a relaxed La2CdInIr crystal.

E above lowest polymorph in kJ/mol of atoms: 0.0
ΔE_f in eV/atom: -0.545
SG: P2_1/m, No. 11

a = 8.1264 Å, b = 4.3708 Å, c = 8.4632 Å
α = 90.00°, β = 111.60°, γ = 90.00°
Fractional positions:
1 La 0.0240 0.2500 0.2289
2 La 0.3338 0.7500 0.6072
3 La 0.6662 0.2500 0.3928
4 La 0.9760 0.7500 0.7711
5 Cd 0.3247 0.7500 0.1892
6 Cd 0.6753 0.2500 0.8108
7 In 0.3467 0.2500 0.9507
8 In 0.6533 0.7500 0.0493
9 Ir 0.1054 0.2500 0.6199
10 Ir 0.8946 0.7500 0.3801

---

7.
A plane-wave DFT calculation with PBE was carried out for a relaxed K2Mg3Hg2 crystal.

ΔE_f in eV/atom: -0.120
SG: C2/m, No. 12

a = 6.8714 Å, b = 6.8714 Å, c = 8.6422 Å
α = 119.40°, β = 119.40°, γ = 40.30°
Fractional positions:
1 K 0.1381 0.1381 0.2731
2 K 0.8619 0.8619 0.7269
3 Mg 0.3463 0.3463 0.0768
4 Mg 0.5000 0.5000 0.5000
5 Mg 0.6537 0.6537 0.9232
6 Hg 0.1326 0.1326 0.7108
7 Hg 0.8674 0.8674 0.2892

---

8.
A plane-wave DFT calculation with PBE was carried out for a relaxed CoTcAs6 crystal.

ΔE_f in eV/atom: -0.125
SG: C2/m, No. 12

a = 7.3040 Å, b = 7.3040 Å, c = 8.4772 Å
α = 124.72°, β = 124.72°, γ = 70.79°
Fractional positions:
1 Co 0.0000 0.5000 0.0000
2 Co 0.5000 0.0000 0.0000
3 Tc 0.0000 0.5000 0.5000
4 Tc 0.5000 0.0000 0.5000
5 As 0.1416 0.8426 0.1458
6 As 0.1574 0.8584 0.8542
7 As 0.1952 0.5058 0.3427
8 As 0.3367 0.3367 0.9907
9 As 0.3530 0.3530 0.7068
10 As 0.4942 0.8048 0.6573
11 As 0.5058 0.1952 0.3427
12 As 0.6470 0.6470 0.2932
13 As 0.6633 0.6633 0.0093
14 As 0.8048 0.4942 0.6573
15 As 0.8426 0.1416 0.1458
16 As 0.8584 0.1574 0.8542

---

9.
A plane-wave DFT calculation with PBE was carried out for a relaxed PmHo2F crystal.

Formation energy without anion corrections in eV per formula unit: -3.49
SG: R-3m, No. 166

a = 9.5805 Å, b = 9.5805 Å, c = 9.5805 Å
α = 21.71°, β = 21.71°, γ = 21.71°
Fractional positions:
1 Pm 0.0000 0.0000 0.0000
2 Ho 0.1187 0.1187 0.1187
3 Ho 0.8813 0.8813 0.8813
4 F 0.5000 0.5000 0.5000

---

10.
A plane-wave DFT calculation with PBE was carried out for a relaxed Cd5Ga2Au4 crystal.

ΔE_f in eV/atom: -0.139
SG: C2/m, No. 12

a = 6.5413 Å, b = 6.5413 Å, c = 8.3175 Å
α = 93.49°, β = 93.49°, γ = 41.13°
Fractional positions:
1 Cd 0.0000 0.0000 0.0000
2 Cd 0.3197 0.3197 0.0661
3 Cd 0.3433 0.3433 0.4594
4 Cd 0.6567 0.6567 0.5406
5 Cd 0.6803 0.6803 0.9339
6 Ga 0.0065 0.0065 0.6549
7 Ga 0.9935 0.9935 0.3451
8 Au 0.2206 0.2206 0.7378
9 Au 0.4583 0.4583 0.7843
10 Au 0.5417 0.5417 0.2157
11 Au 0.7794 0.7794 0.2622

---

11.
A plane-wave DFT calculation with PBE was carried out for a relaxed KNiBr2 crystal.

E above lowest polymorph in kJ/mol of atoms: 44.1
Formation energy without anion corrections in eV per formula unit: -1.24
SG: I-4m2, No. 119

a = 7.9026 Å, b = 7.9026 Å, c = 7.9026 Å
α = 149.76°, β = 149.76°, γ = 43.30°
Fractional positions:
1 K 0.0000 0.0000 0.0000
2 Ni 0.2500 0.7500 0.5000
3 Br 0.5000 0.5000 0.0000
4 Br 0.7500 0.2500 0.5000

---

12.
A plane-wave DFT calculation with PBE was carried out for a relaxed Be2RhBr crystal.

E above lowest polymorph in kJ/mol of atoms: 63.8
Formation energy without anion corrections in eV per formula unit: 1.91
SG: I-4m2, No. 119

a = 5.9672 Å, b = 5.9672 Å, c = 5.9672 Å
α = 148.32°, β = 148.32°, γ = 45.41°
Fractional positions:
1 Be 0.0000 0.0000 0.0000
2 Be 0.7500 0.2500 0.5000
3 Rh 0.5000 0.5000 0.0000
4 Br 0.2500 0.7500 0.5000

---

Here are the calculated DOS at the Fermi energy numbers, same order: 16.46 20.10 8.19 8.64 2.98 8.19 3.05 14.09 5.76 3.72 5.58 1.55 (states/eV per cell).
Here are the calculated VASP energy numbers, same order: -3.474 -5.008 -5.340 -6.568 -6.132 -5.019 -1.203 -5.796 -4.817 -2.298 -2.867 -3.643 (eV per atom).